1.
DFT (PBE) results for a relaxed CeSm8Dy6 crystal.

Geometry as POSCAR:
```
CeSm8Dy6
1.0
4.541 2.622 6.924
-4.541 2.622 6.924
0.000 -5.243 6.924
Ce Sm Dy
1 8 6
direct
0.000 0.000 0.000
0.114 0.717 0.755
0.245 0.886 0.283
0.283 0.245 0.886
0.422 0.422 0.422
0.578 0.578 0.578
0.717 0.755 0.114
0.755 0.114 0.717
0.886 0.283 0.245
0.100 0.539 0.241
0.241 0.100 0.539
0.461 0.759 0.900
0.539 0.241 0.100
0.759 0.900 0.461
0.900 0.461 0.759
```

Values from the calculation:
- SG = No. 148
- spin magnetization (μB per atom) = 0.070
- total DFT energy (no corrections) (eV/atom) = -4.62

***

2.
DFT (PBE) results for a relaxed Ac2CeReN4 crystal.

Geometry as POSCAR:
```
Ac2CeReN4
1.0
1.782 -6.302 0.000
1.782 6.302 0.000
0.000 0.000 12.962
Ac Ce Re N
4 2 2 8
direct
0.133 0.867 0.542
0.133 0.867 0.958
0.867 0.133 0.042
0.867 0.133 0.458
0.373 0.627 0.750
0.627 0.373 0.250
0.342 0.658 0.250
0.658 0.342 0.750
0.090 0.910 0.750
0.216 0.784 0.149
0.216 0.784 0.351
0.500 0.500 0.000
0.500 0.500 0.500
0.784 0.216 0.649
0.784 0.216 0.851
0.910 0.090 0.250
```

Values from the calculation:
- SG = No. 63
- spin magnetization (μB per atom) = 0.066
- total DFT energy (no corrections) (eV/atom) = -8.17
- raw formation energy (eV/f.u.) = -5.459

***

3.
DFT (PBE) results for a relaxed BaAcZnHg crystal.

Geometry as POSCAR:
```
BaAcZnHg
1.0
8.124 0.000 0.000
0.000 8.124 0.000
0.000 0.000 8.124
Ba Ac Zn Hg
4 4 4 4
direct
0.000 0.000 0.000
0.000 0.500 0.500
0.500 0.000 0.500
0.500 0.500 0.000
0.000 0.000 0.500
0.000 0.500 0.000
0.500 0.000 0.000
0.500 0.500 0.500
0.250 0.250 0.250
0.250 0.750 0.750
0.750 0.250 0.750
0.750 0.750 0.250
0.250 0.250 0.750
0.250 0.750 0.250
0.750 0.250 0.250
0.750 0.750 0.750
```

Values from the calculation:
- polymorph energy (0 for the lowest one) (eV/atom) = 0.030
- SG = No. 216
- spin magnetization (μB per atom) = 0.000
- total DFT energy (no corrections) (eV/atom) = -2.23

***

4.
DFT (PBE) results for a relaxed CsTl12Hg6 crystal.

Geometry as POSCAR:
```
CsTl12Hg6
1.0
7.835 4.524 3.266
-7.835 4.524 3.266
0.000 -9.047 3.266
Cs Tl Hg
1 12 6
direct
0.000 0.000 0.000
0.165 0.500 0.835
0.165 0.835 0.500
0.167 0.479 0.479
0.479 0.167 0.479
0.479 0.479 0.167
0.500 0.165 0.835
0.500 0.835 0.165
0.521 0.521 0.833
0.521 0.833 0.521
0.833 0.521 0.521
0.835 0.165 0.500
0.835 0.500 0.165
0.156 0.156 0.495
0.156 0.495 0.156
0.495 0.156 0.156
0.505 0.844 0.844
0.844 0.505 0.844
0.844 0.844 0.505
```

Values from the calculation:
- SG = No. 166
- spin magnetization (μB per atom) = 0.000
- total DFT energy (no corrections) (eV/atom) = -1.60

***

5.
DFT (PBE) results for a relaxed HoGa6Ni6 crystal.

Geometry as POSCAR:
```
HoGa6Ni6
1.0
-2.508 4.129 4.342
2.508 -4.129 4.342
2.508 4.129 -4.342
Ho Ga Ni
1 6 6
direct
0.000 0.000 0.000
0.185 0.685 0.500
0.342 0.000 0.342
0.345 0.345 0.000
0.655 0.655 0.000
0.658 0.000 0.658
0.815 0.315 0.500
0.000 0.000 0.500
0.000 0.500 0.000
0.238 0.500 0.738
0.500 0.000 0.000
0.500 0.500 0.500
0.762 0.500 0.262
```

Values from the calculation:
- SG = No. 71
- spin magnetization (μB per atom) = 0.000
- total DFT energy (no corrections) (eV/atom) = -4.90

***

6.
DFT (PBE) results for a relaxed NiSnN3 crystal.

Geometry as POSCAR:
```
NiSnN3
1.0
4.157 0.000 0.000
0.000 4.157 0.000
0.000 0.000 4.157
Ni Sn N
1 1 3
direct
0.000 0.000 0.000
0.500 0.500 0.500
0.000 0.500 0.500
0.500 0.000 0.500
0.500 0.500 0.000
```

Values from the calculation:
- SG = No. 221
- spin magnetization (μB per atom) = 1.000
- total DFT energy (no corrections) (eV/atom) = -4.88
- raw formation energy (eV/f.u.) = 10.346

***

7.
DFT (PBE) results for a relaxed Co2PbBr crystal.

Geometry as POSCAR:
```
Co2PbBr
1.0
6.237 0.000 0.000
0.000 8.541 0.000
-1.766 0.000 2.882
Co Pb Br
4 2 2
direct
0.250 0.250 0.000
0.250 0.750 0.000
0.750 0.250 0.000
0.750 0.750 0.000
0.000 0.000 0.500
0.500 0.500 0.500
0.000 0.500 0.500
0.500 0.000 0.500
```

Values from the calculation:
- polymorph energy (0 for the lowest one) (eV/atom) = 0.531
- SG = No. 12
- spin magnetization (μB per atom) = 0.748
- total DFT energy (no corrections) (eV/atom) = -4.10
- raw formation energy (eV/f.u.) = 3.187

***

8.
DFT (PBE) results for a relaxed Ce2ThAl2Si2 crystal.

Geometry as POSCAR:
```
Ce2ThAl2Si2
1.0
2.152 1.242 9.397
-2.152 1.242 9.397
0.000 -2.485 9.397
Ce Th Al Si
2 1 2 2
direct
0.138 0.138 0.138
0.862 0.862 0.862
0.000 0.000 0.000
0.407 0.407 0.407
0.593 0.593 0.593
0.262 0.262 0.262
0.738 0.738 0.738
```

Values from the calculation:
- SG = No. 166
- spin magnetization (μB per atom) = 0.225
- total DFT energy (no corrections) (eV/atom) = -5.76
- raw formation energy (eV/f.u.) = -2.730

***

9.
DFT (PBE) results for a relaxed Nd3YHo7 crystal.

Geometry as POSCAR:
```
Nd3YHo7
1.0
6.980 0.000 0.000
0.000 5.526 0.000
-3.414 0.000 9.416
Nd Y Ho
3 1 7
direct
0.000 0.000 0.000
0.282 0.500 0.498
0.718 0.500 0.502
0.500 0.000 0.000
0.000 0.000 0.500
0.147 0.500 0.789
0.321 0.500 0.138
0.420 0.000 0.330
0.580 0.000 0.670
0.679 0.500 0.862
0.853 0.500 0.211
```

Values from the calculation:
- polymorph energy (0 for the lowest one) (eV/atom) = 0.000
- SG = No. 10
- spin magnetization (μB per atom) = 0.000
- total DFT energy (no corrections) (eV/atom) = -4.65

***

10.
DFT (PBE) results for a relaxed TaAsOs3 crystal.

Geometry as POSCAR:
```
TaAsOs3
1.0
4.476 0.000 0.000
0.000 4.476 0.000
0.000 0.000 4.476
Ta As Os
1 1 3
direct
0.000 0.000 0.000
0.500 0.500 0.500
0.000 0.500 0.500
0.500 0.000 0.500
0.500 0.500 0.000
```

Values from the calculation:
- polymorph energy (0 for the lowest one) (eV/atom) = 0.000
- SG = No. 221
- spin magnetization (μB per atom) = 0.000
- total DFT energy (no corrections) (eV/atom) = -8.60

***

11.
DFT (PBE) results for a relaxed LiPrCuPt crystal.

Geometry as POSCAR:
```
LiPrCuPt
1.0
6.851 0.000 0.000
0.000 6.851 0.000
0.000 0.000 6.851
Li Pr Cu Pt
4 4 4 4
direct
0.000 0.000 0.000
0.000 0.500 0.500
0.500 0.000 0.500
0.500 0.500 0.000
0.000 0.000 0.500
0.000 0.500 0.000
0.500 0.000 0.000
0.500 0.500 0.500
0.250 0.250 0.750
0.250 0.750 0.250
0.750 0.250 0.250
0.750 0.750 0.750
0.250 0.250 0.250
0.250 0.750 0.750
0.750 0.250 0.750
0.750 0.750 0.250
```

Values from the calculation:
- SG = No. 216
- spin magnetization (μB per atom) = 0.000
- total DFT energy (no corrections) (eV/atom) = -4.62

***

12.
DFT (PBE) results for a relaxed IrPtS crystal.

Geometry as POSCAR:
```
IrPtS
1.0
3.057 0.000 0.000
-1.528 2.647 0.000
0.000 0.000 18.860
Ir Pt S
3 3 3
direct
0.000 0.000 0.000
0.333 0.667 0.667
0.667 0.333 0.333
0.000 0.000 0.862
0.333 0.667 0.529
0.667 0.333 0.195
0.000 0.000 0.741
0.333 0.667 0.408
0.667 0.333 0.074
```

Values from the calculation:
- polymorph energy (0 for the lowest one) (eV/atom) = 0.205
- SG = No. 160
- spin magnetization (μB per atom) = 0.000
- total DFT energy (no corrections) (eV/atom) = -6.16
- raw formation energy (eV/f.u.) = 0.544

***

13.
DFT (PBE) results for a relaxed Nd2TcNi crystal.

Geometry as POSCAR:
```
Nd2TcNi
1.0
3.395 0.000 0.000
-1.698 2.941 0.000
0.000 0.000 28.278
Nd Tc Ni
6 3 3
direct
0.000 0.000 0.096
0.000 0.000 0.904
0.333 0.667 0.571
0.333 0.667 0.762
0.667 0.333 0.238
0.667 0.333 0.429
0.000 0.000 0.000
0.333 0.667 0.667
0.667 0.333 0.333
0.000 0.000 0.500
0.333 0.667 0.167
0.667 0.333 0.833
```

Values from the calculation:
- SG = No. 166
- spin magnetization (μB per atom) = 0.231
- total DFT energy (no corrections) (eV/atom) = -5.70

***

14.
DFT (PBE) results for a relaxed LiEr3Ir2 crystal.

Geometry as POSCAR:
```
LiEr3Ir2
1.0
4.831 0.000 0.000
-2.416 4.184 0.000
0.000 0.000 11.970
Li Er Ir
2 6 4
direct
0.333 0.667 0.170
0.667 0.333 0.830
0.000 0.000 0.257
0.000 0.000 0.743
0.333 0.667 0.422
0.333 0.667 0.917
0.667 0.333 0.083
0.667 0.333 0.578
0.000 0.000 0.000
0.000 0.000 0.500
0.333 0.667 0.672
0.667 0.333 0.328
```

Values from the calculation:
- SG = No. 164
- spin magnetization (μB per atom) = 0.000
- total DFT energy (no corrections) (eV/atom) = -6.28

***

15.
DFT (PBE) results for a relaxed AsP2Au crystal.

Geometry as POSCAR:
```
AsP2Au
1.0
3.372 0.000 0.000
0.000 3.372 0.000
0.000 0.000 6.600
As P Au
1 2 1
direct
0.000 0.000 0.000
0.000 0.000 0.639
0.500 0.500 0.568
0.500 0.500 0.203
```

Values from the calculation:
- SG = No. 99
- spin magnetization (μB per atom) = 0.000
- total DFT energy (no corrections) (eV/atom) = -4.50

***

16.
DFT (PBE) results for a relaxed Rb2CaTmCl6 crystal.

Geometry as POSCAR:
```
Rb2CaTmCl6
1.0
7.600 0.000 0.000
0.000 10.747 0.000
0.000 0.000 7.595
Rb Ca Tm Cl
4 2 2 12
direct
0.250 0.000 0.250
0.250 0.500 0.250
0.750 0.000 0.750
0.750 0.500 0.750
0.250 0.250 0.749
0.750 0.750 0.251
0.250 0.750 0.751
0.750 0.250 0.249
0.004 0.750 0.506
0.005 0.750 0.996
0.250 0.505 0.750
0.250 0.995 0.750
0.495 0.750 0.996
0.496 0.750 0.506
0.504 0.250 0.494
0.505 0.250 0.004
0.750 0.005 0.250
0.750 0.495 0.250
0.995 0.250 0.004
0.996 0.250 0.494
```

Values from the calculation:
- SG = No. 59
- spin magnetization (μB per atom) = 0.002
- total DFT energy (no corrections) (eV/atom) = -3.97
- raw formation energy (eV/f.u.) = -20.196

***

17.
DFT (PBE) results for a relaxed SrSeF3 crystal.

Geometry as POSCAR:
```
SrSeF3
1.0
4.618 0.000 0.000
0.000 4.618 0.000
0.000 0.000 4.618
Sr Se F
1 1 3
direct
0.000 0.000 0.000
0.500 0.500 0.500
0.000 0.500 0.500
0.500 0.000 0.500
0.500 0.500 0.000
```

Values from the calculation:
- polymorph energy (0 for the lowest one) (eV/atom) = 0.384
- SG = No. 221
- spin magnetization (μB per atom) = 0.000
- total DFT energy (no corrections) (eV/atom) = -3.86
- raw formation energy (eV/f.u.) = -8.521

***

18.
DFT (PBE) results for a relaxed La5CdIn4 crystal.

Geometry as POSCAR:
```
La5CdIn4
1.0
3.931 0.000 0.000
0.000 3.931 0.000
0.000 0.000 19.999
La Cd In
5 1 4
direct
0.000 0.000 0.000
0.000 0.000 0.200
0.000 0.000 0.401
0.000 0.000 0.599
0.000 0.000 0.800
0.500 0.500 0.500
0.500 0.500 0.100
0.500 0.500 0.302
0.500 0.500 0.698
0.500 0.500 0.900
```

Values from the calculation:
- SG = No. 123
- spin magnetization (μB per atom) = 0.000
- total DFT energy (no corrections) (eV/atom) = -4.13

***

19.
DFT (PBE) results for a relaxed Ti4In4Fe crystal.

Geometry as POSCAR:
```
Ti4In4Fe
1.0
-4.535 4.535 2.073
4.535 -4.535 2.073
4.535 4.535 -2.073
Ti In Fe
4 4 1
direct
0.157 0.157 0.314
0.157 0.843 0.000
0.843 0.157 0.000
0.843 0.843 0.686
0.186 0.500 0.686
0.500 0.186 0.686
0.500 0.814 0.314
0.814 0.500 0.314
0.500 0.500 0.000
```

Values from the calculation:
- SG = No. 139
- spin magnetization (μB per atom) = 0.460
- total DFT energy (no corrections) (eV/atom) = -5.65